Model a:
Material: SrZrBr
Method: DFT, PBE
State: relaxed

Properties
magnetization	1.13	μB/atom

```
SrZrBr
1.0
5.649 0.000 0.000
2.824 4.892 0.000
2.824 1.631 4.612
Br Zr Sr
1 1 1
direct
0.500 0.500 0.500
0.000 0.000 0.000
0.250 0.250 0.250
```



Model b:
Material: SrZrBr
Method: DFT, PBE
State: relaxed

Properties
magnetization	0.17	μB/atom

```
SrZrBr
1.0
7.678 0.001 -0.001
6.684 3.357 0.035
0.994 -0.637 3.294
Zr Sr Br
1 1 1
direct
0.652 0.652 0.348
0.337 0.337 0.663
0.011 0.011 0.989
```



The energy of each structure relative to the most stable one, in eV/atom, is as follows: model a 0.938; model b 0.000.



Model a:
Material: Sr3ZrBr
Method: DFT, PBE
State: relaxed

Properties
magnetization	0.63	μB/atom

```
Sr3ZrBr
1.0
6.442 0.000 0.000
0.000 6.442 0.000
0.000 0.000 6.442
Zr Sr Br
1 3 1
direct
0.000 0.000 0.000
0.000 0.000 0.500
0.500 0.000 0.000
0.000 0.500 0.000
0.500 0.500 0.500
```



Model b:
Material: Sr3ZrBr
Method: DFT, PBE
State: relaxed

Properties
magnetization	0.83	μB/atom

```
Sr3ZrBr
1.0
5.951 0.000 0.000
0.000 5.951 0.000
0.000 0.000 5.951
Sr Zr Br
3 1 1
direct
0.000 0.000 0.500
0.500 0.000 0.000
0.000 0.500 0.000
0.500 0.500 0.500
0.000 0.000 0.000
```



The energy of each structure relative to the most stable one, in eV/atom, is as follows: model a 0.416; model b 0.000.



Model a:
Material: Ta5Br
Method: DFT, PBE
State: relaxed

Properties
magnetization	0.00	μB/atom

```
Ta5Br
1.0
1.664 -7.215 0.000
1.664 7.215 0.000
0.000 0.000 4.665
Ta Br
5 1
direct
0.458 0.542 0.500
0.798 0.202 0.500
0.137 0.863 0.500
0.300 0.700 0.000
0.645 0.355 0.000
0.995 0.005 0.000
```



Model b:
Material: Ta5Br
Method: DFT, PBE
State: relaxed

Properties
magnetization	0.00	μB/atom

```
Ta5Br
1.0
-4.156 1.767 -3.102
0.218 -4.345 3.330
-1.564 2.710 3.638
Ta Br
5 1
direct
0.678 0.322 0.500
0.000 0.000 0.500
0.837 0.163 0.000
0.163 0.837 0.000
0.322 0.678 0.500
0.500 0.500 0.000
```



Model c:
Material: Ta5Br
Method: DFT, PBE
State: relaxed

Properties
magnetization	0.00	μB/atom

```
Ta5Br
1.0
4.830 -1.879 -1.867
5.477 0.308 0.505
1.524 -5.001 4.196
Br Ta
1 5
direct
0.996 0.996 0.009
0.620 0.620 0.245
0.292 0.292 0.399
0.649 0.649 0.717
0.310 0.310 0.894
0.966 0.966 0.568
```



The energy of each structure relative to the most stable one, in eV/atom, is as follows: model a 0.029; model b 0.103; model c 0.000.



Model a:
Material: Ta3Br2
Method: DFT, PBE
State: relaxed

Properties
magnetization	0.06	μB/atom

```
Ta3Br2
1.0
-0.197 4.014 -11.431
-2.702 1.983 -11.644
-3.154 5.000 -10.577
Ta Br
3 2
direct
0.193 0.193 0.193
0.807 0.807 0.807
0.000 0.000 0.000
0.612 0.612 0.612
0.388 0.388 0.388
```



Model b:
Material: Ta3Br2
Method: DFT, PBE
State: relaxed

Properties
magnetization	0.00	μB/atom

```
Ta3Br2
1.0
-0.962 2.515 3.468
-0.532 1.570 -4.066
-5.589 -2.054 -0.062
Ta Br
3 2
direct
0.000 0.000 0.000
0.333 0.667 0.391
0.667 0.333 0.609
0.333 0.667 0.841
0.667 0.333 0.159
```



The energy of each structure relative to the most stable one, in eV/atom, is as follows: model a 0.000; model b 0.894.



Model a:
Material: TaTcBr2
Method: DFT, PBE
State: relaxed

Properties
magnetization	0.00	μB/atom

```
TaTcBr2
1.0
3.825 -0.308 -0.012
2.730 2.696 -0.012
1.063 0.387 9.148
Br Tc Ta
2 1 1
direct
0.011 0.011 0.929
0.242 0.242 0.329
0.765 0.765 0.539
0.482 0.482 0.703
```



Model b:
Material: TaTcBr2
Method: DFT, PBE
State: relaxed

Properties
magnetization	0.35	μB/atom

```
TaTcBr2
1.0
8.073 0.028 -0.001
6.291 5.060 0.001
-6.961 -3.169 2.586
Tc Br Ta
1 2 1
direct
0.250 0.750 0.500
0.892 0.892 0.000
0.608 0.608 0.000
0.750 0.250 0.500
```



Model c:
Material: TaTcBr2
Method: DFT, PBE
State: relaxed

Properties
magnetization	0.19	μB/atom

```
TaTcBr2
1.0
-5.287 -2.398 -1.176
2.594 -3.989 -3.528
-0.777 -6.470 1.771
Tc Br Ta
2 4 2
direct
0.500 0.500 0.000
0.250 0.750 0.500
0.612 0.125 0.250
0.875 0.862 0.750
0.138 0.625 0.250
0.375 0.388 0.750
0.750 0.250 0.500
0.000 0.000 0.000
```



The energy of each structure relative to the most stable one, in eV/atom, is as follows: model a 0.000; model b 0.395; model c 1.444.



Model a:
Material: TaTcBr2
Method: DFT, PBE
State: relaxed

Properties
magnetization	0.21	μB/atom

```
TaTcBr2
1.0
4.758 0.000 0.000
2.379 4.121 0.000
2.379 1.374 3.885
Ta Br Tc
1 2 1
direct
0.500 0.500 0.500
0.250 0.250 0.250
0.000 0.000 0.000
0.750 0.750 0.750
```



Model b:
Material: TaTcBr2
Method: DFT, PBE
State: relaxed

Properties
magnetization	0.00	μB/atom

```
TaTcBr2
1.0
-0.468 -3.127 -0.133
3.127 -0.450 -0.182
0.461 -0.455 9.040
Br Tc Ta
2 1 1
direct
0.000 0.000 0.917
0.500 0.500 0.327
0.500 0.500 0.711
0.000 0.000 0.545
```



The energy of each structure relative to the most stable one, in eV/atom, is as follows: model a 0.922; model b 0.000.



Model a:
Material: TaTcBr2
Method: DFT, PBE
State: relaxed

Properties
magnetization	0.00	μB/atom

```
TaTcBr2
1.0
6.793 0.008 -0.002
4.440 5.141 0.002
-5.265 -3.341 2.694
Ta Tc Br
1 1 2
direct
0.412 0.412 0.000
0.275 0.775 0.500
0.776 0.276 0.500
0.037 0.037 0.000
```



Model b:
Material: TaTcBr2
Method: DFT, PBE
State: relaxed

Properties
magnetization	0.00	μB/atom

```
TaTcBr2
1.0
0.285 -4.502 -0.785
-2.257 -2.940 2.688
-3.625 -2.273 -1.630
Ta Tc Br
1 1 2
direct
0.500 0.500 0.500
0.000 0.000 0.000
0.750 0.750 0.750
0.250 0.250 0.250
```



Model c:
Material: TaTcBr2
Method: DFT, PBE
State: relaxed

Properties
magnetization	0.02	μB/atom

```
TaTcBr2
1.0
7.679 0.011 0.042
7.002 3.152 0.042
0.372 0.080 4.222
Ta Br Tc
1 2 1
direct
0.250 0.250 0.250
0.607 0.607 0.469
0.893 0.893 0.031
0.750 0.750 0.750
```



Model d:
Material: TaTcBr2
Method: DFT, PBE
State: relaxed

Properties
magnetization	0.59	μB/atom

```
TaTcBr2
1.0
-3.256 0.061 -0.274
1.948 -2.243 -1.362
-0.727 -5.173 7.478
Br Ta Tc
2 1 1
direct
0.000 0.000 0.495
0.000 0.000 0.005
0.500 0.500 0.250
0.500 0.500 0.750
```



The energy of each structure relative to the most stable one, in eV/atom, is as follows: model a 0.313; model b 0.915; model c 0.000; model d 0.795.



Model a:
Material: Ta2Tc2Br
Method: DFT, PBE
State: relaxed

Properties
magnetization	0.00	μB/atom

```
Ta2Tc2Br
1.0
-3.207 2.063 1.027
-1.611 -0.747 -3.527
-5.465 -5.432 1.436
Tc Ta Br
2 2 1
direct
0.750 0.250 0.500
0.250 0.750 0.500
0.360 0.360 0.281
0.640 0.640 0.719
0.000 0.000 0.000
```



Model b:
Material: Ta2Tc2Br
Method: DFT, PBE
State: relaxed

Properties
magnetization	0.00	μB/atom

```
Ta2Tc2Br
1.0
-0.405 7.604 -1.240
-6.593 -0.985 -3.884
-1.608 0.345 2.641
Tc Ta Br
4 4 2
direct
0.635 0.865 0.500
0.865 0.365 0.500
0.365 0.135 0.500
0.135 0.635 0.500
0.646 0.146 0.000
0.354 0.854 0.000
0.146 0.354 0.000
0.854 0.646 0.000
0.500 0.500 0.000
0.000 0.000 0.000
```



The energy of each structure relative to the most stable one, in eV/atom, is as follows: model a 0.098; model b 0.000.



Model a:
Material: TaTe2Br
Method: DFT, PBE
State: relaxed

Properties
magnetization	0.00	μB/atom

```
TaTe2Br
1.0
-7.473 1.713 -2.411
-4.147 -1.428 -6.735
4.101 -1.720 6.694
Br Ta Te
1 1 2
direct
0.405 0.405 0.000
0.264 0.764 0.500
0.729 0.229 0.500
0.102 0.102 0.000
```



Model b:
Material: TaTe2Br
Method: DFT, PBE
State: relaxed

Properties
magnetization	0.16	μB/atom

```
TaTe2Br
1.0
0.000 3.606 3.606
3.606 0.000 3.606
3.606 3.606 0.000
Ta Br Te
1 1 2
direct
0.500 0.500 0.500
0.000 0.000 0.000
0.750 0.750 0.750
0.250 0.250 0.250
```



Model c:
Material: TaTe2Br
Method: DFT, PBE
State: relaxed

Properties
magnetization	0.00	μB/atom

```
TaTe2Br
1.0
-0.523 -3.899 6.634
-1.279 -7.468 1.443
3.852 6.010 -2.920
Te Br Ta
2 1 1
direct
0.407 0.407 0.000
0.093 0.093 0.000
0.750 0.250 0.500
0.250 0.750 0.500
```



Model d:
Material: TaTe2Br
Method: DFT, PBE
State: relaxed

Properties
magnetization	0.00	μB/atom

```
TaTe2Br
1.0
7.391 0.000 0.000
0.000 7.391 0.000
3.695 3.695 5.528
Te Ta Br
4 2 2
direct
0.875 0.951 0.750
0.375 0.299 0.750
0.701 0.125 0.250
0.049 0.625 0.250
0.750 0.250 0.500
0.000 0.000 0.000
0.250 0.750 0.500
0.500 0.500 0.000
```



The energy of each structure relative to the most stable one, in eV/atom, is as follows: model a 0.000; model b 0.402; model c 0.057; model d 0.148.



Model a:
Material: TaTe2Br
Method: DFT, PBE
State: relaxed

Properties
magnetization	0.00	μB/atom

```
TaTe2Br
1.0
-1.648 -2.072 2.583
-2.391 -2.640 -0.997
5.264 -7.398 0.082
Br Te Ta
1 2 1
direct
0.750 0.750 0.750
0.513 0.513 0.459
0.987 0.987 0.041
0.250 0.250 0.250
```



Model b:
Material: TaTe2Br
Method: DFT, PBE
State: relaxed

Properties
magnetization	0.00	μB/atom

```
TaTe2Br
1.0
2.190 0.000 9.317
-1.095 1.897 9.317
-1.095 -1.897 9.317
Te Br Ta
2 1 1
direct
0.104 0.104 0.104
0.896 0.896 0.896
0.000 0.000 0.000
0.500 0.500 0.500
```



Model c:
Material: TaTe2Br
Method: DFT, PBE
State: relaxed

Properties
magnetization	0.01	μB/atom

```
TaTe2Br
1.0
-2.291 2.396 -0.041
-1.184 -1.182 -2.862
-6.289 -5.927 5.049
Ta Te Br
1 2 1
direct
0.500 0.500 0.750
0.000 0.000 0.928
0.000 0.000 0.572
0.500 0.500 0.250
```



The energy of each structure relative to the most stable one, in eV/atom, is as follows: model a 0.000; model b 0.048; model c 0.195.